Entry 1:
# PBE LaTeAs2, optimized geometry
data_LaTeAs2
_chemical_formula_sum 'La1 Te1 As2'
_symmetry_space_group_name_H-M 'P 1 m 1'
_symmetry_Int_Tables_number 6
_cell_length_a 4.4247
_cell_length_b 4.3941
_cell_length_c 6.0770
_cell_angle_alpha 90.00
_cell_angle_beta 110.75
_cell_angle_gamma 90.00
loop_
_symmetry_equiv_pos_as_xyz
'x,y,z'
'x,-y,z'
loop_
_atom_site_label
_atom_site_fract_x
_atom_site_fract_y
_atom_site_fract_z
La1 0.0000 0.0000 0.0000
Te1 0.4222 0.5000 0.8347
As1 0.6870 0.0000 0.4158
As2 0.9715 0.5000 0.3759
# E_form (uncorrected): -0.8310 eV per atom
# Uncorrected energy: -5.173 eV/atom
# DOS at the Fermi energy: 1.20 states/eV/f.u.
# Magnetic moment: 0.00 μB/cell

---

Entry 2:
# PBE Y2MnW, optimized geometry
data_Y2MnW
_chemical_formula_sum 'Y8 Mn4 W4'
_symmetry_space_group_name_H-M 'F m -3 m'
_symmetry_Int_Tables_number 225
_symmetry_space_group_name_Hall '-F 4 2 3'
_cell_length_a 6.9146
_cell_length_b 6.9146
_cell_length_c 6.9146
_cell_angle_alpha 90.00
_cell_angle_beta 90.00
_cell_angle_gamma 90.00
loop_
_atom_site_label
_atom_site_fract_x
_atom_site_fract_y
_atom_site_fract_z
Y1 0.2500 0.2500 0.2500
Mn1 0.0000 0.0000 0.0000
W1 0.0000 0.0000 0.5000
# Uncorrected energy: -7.943 eV/atom
# DOS at the Fermi energy: 12.45 states/eV/f.u.
# Magnetic moment: 0.01 μB/cell

---

Entry 3:
# PBE PmPrEuPb, optimized geometry
data_PmPrEuPb
_chemical_formula_sum 'Pm4 Pr4 Eu4 Pb4'
_symmetry_space_group_name_H-M 'F -4 3 m'
_symmetry_Int_Tables_number 216
_symmetry_space_group_name_Hall 'F -4 2 3'
_cell_length_a 8.0085
_cell_length_b 8.0085
_cell_length_c 8.0085
_cell_angle_alpha 90.00
_cell_angle_beta 90.00
_cell_angle_gamma 90.00
loop_
_atom_site_label
_atom_site_fract_x
_atom_site_fract_y
_atom_site_fract_z
Pm1 0.0000 0.0000 0.0000
Pr1 0.0000 0.0000 0.5000
Eu1 0.2500 0.2500 0.7500
Pb1 0.2500 0.2500 0.2500
# Uncorrected energy: -6.062 eV/atom
# DOS at the Fermi energy: 6.52 states/eV/f.u.
# Magnetic moment: 31.96 μB/cell

---

Entry 4:
# PBE CsTlC, optimized geometry
data_CsTlC
_chemical_formula_sum 'Cs4 Tl4 C4'
_symmetry_space_group_name_H-M 'C 1 2/m 1'
_symmetry_Int_Tables_number 12
_cell_length_a 13.6242
_cell_length_b 6.5645
_cell_length_c 6.8732
_cell_angle_alpha 90.00
_cell_angle_beta 111.25
_cell_angle_gamma 90.00
loop_
_symmetry_equiv_pos_as_xyz
'x,y,z'
'-x,-y,-z'
'-x,y,-z'
'x,-y,z'
'x+1/2,y+1/2,z'
'-x+1/2,-y+1/2,-z'
'-x+1/2,y+1/2,-z'
'x+1/2,-y+1/2,z'
loop_
_atom_site_label
_atom_site_fract_x
_atom_site_fract_y
_atom_site_fract_z
Cs1 0.1714 0.0000 0.3218
Tl1 0.0000 0.5000 0.0000
Tl2 0.0000 0.5000 0.5000
C1 0.0983 0.5000 0.3200
# Uncorrected energy: -3.087 eV/atom
# DOS at the Fermi energy: 0.03 states/eV/f.u.
# Magnetic moment: 0.00 μB/cell

---

Entry 5:
# PBE CuNi3S, optimized geometry
data_CuNi3S
_chemical_formula_sum 'Cu1 Ni3 S1'
_symmetry_space_group_name_H-M 'P m -3 m'
_symmetry_Int_Tables_number 221
_symmetry_space_group_name_Hall '-P 4 2 3'
_cell_length_a 4.0887
_cell_length_b 4.0887
_cell_length_c 4.0887
_cell_angle_alpha 90.00
_cell_angle_beta 90.00
_cell_angle_gamma 90.00
loop_
_atom_site_label
_atom_site_fract_x
_atom_site_fract_y
_atom_site_fract_z
Cu1 0.0000 0.0000 0.0000
Ni1 0.0000 0.5000 0.5000
S1 0.5000 0.5000 0.5000
# E_form (uncorrected): 0.1410 eV per atom
# Uncorrected energy: -4.973 eV/atom
# DOS at the Fermi energy: 2.61 states/eV/f.u.
# Magnetic moment: 0.00 μB/cell